Entry 1:
Pm2NdDy5Tm | PBE | relaxed

Values from the calculation:
**Volume**: 32.74 Å³/atom
**Energy relative to the elements**: 273 meV/atom
**Crystal system**: tetragonal

Cell lengths 9.881, 9.881, 9.881 Å; angles 127.47, 127.47, 77.48 degrees
Fractional coordinates of all 18 atoms:
Pm 0.116 0.616 0.733
Pm 0.384 0.116 0.500
Pm 0.616 0.884 0.500
Pm 0.884 0.384 0.267
Nd 0.250 0.250 0.000
Nd 0.750 0.750 0.000
Dy 0.000 0.000 0.000
Dy 0.072 0.153 0.500
Dy 0.153 0.653 0.081
Dy 0.347 0.428 0.500
Dy 0.428 0.928 0.081
Dy 0.500 0.500 0.000
Dy 0.572 0.072 0.919
Dy 0.653 0.572 0.500
Dy 0.847 0.347 0.919
Dy 0.928 0.847 0.500
Tm 0.250 0.750 0.500
Tm 0.750 0.250 0.500

Entry 2:
PmNd2Dy2Y4 | PBE | relaxed

Values from the calculation:
**Volume**: 32.98 Å³/atom
**Energy relative to the elements**: -6 meV/atom
**Crystal system**: monoclinic

Cell lengths 9.592, 9.592, 9.639 Å; angles 115.23, 115.23, 21.81 degrees
Fractional coordinates of all 9 atoms:
Pm 0.000 0.000 0.000
Nd 0.334 0.334 0.002
Nd 0.666 0.666 0.998
Dy 0.148 0.148 0.664
Dy 0.852 0.852 0.336
Y 0.186 0.186 0.336
Y 0.481 0.481 0.663
Y 0.519 0.519 0.337
Y 0.814 0.814 0.664

Entry 3:
Pm3Nd2DyY6 | PBE | relaxed

Values from the calculation:
**Volume**: 33.05 Å³/atom
**Energy relative to the elements**: 12 meV/atom
**Crystal system**: monoclinic

Cell lengths 6.256, 6.256, 11.884 Å; angles 95.01, 95.01, 119.98 degrees
Fractional coordinates of all 12 atoms:
Pm 0.000 0.000 0.000
Pm 0.333 0.667 0.000
Pm 0.667 0.333 0.000
Nd 0.166 0.834 0.500
Nd 0.834 0.166 0.500
Dy 0.500 0.500 0.500
Y 0.084 0.417 0.250
Y 0.250 0.250 0.750
Y 0.417 0.084 0.250
Y 0.583 0.916 0.750
Y 0.750 0.750 0.250
Y 0.916 0.583 0.750

Entry 4:
Pm2NdDyY5 | PBE | relaxed

Values from the calculation:
**Volume**: 32.87 Å³/atom
**Energy relative to the elements**: 246 meV/atom
**Crystal system**: tetragonal

Cell lengths 9.984, 9.984, 9.984 Å; angles 128.58, 128.58, 75.69 degrees
Fractional coordinates of all 18 atoms:
Pm 0.118 0.618 0.736
Pm 0.382 0.118 0.500
Pm 0.618 0.882 0.500
Pm 0.882 0.382 0.264
Nd 0.250 0.750 0.500
Nd 0.750 0.250 0.500
Dy 0.250 0.250 0.000
Dy 0.750 0.750 0.000
Y 0.000 0.000 0.000
Y 0.070 0.155 0.500
Y 0.155 0.655 0.085
Y 0.345 0.430 0.500
Y 0.430 0.930 0.085
Y 0.500 0.500 0.000
Y 0.570 0.070 0.915
Y 0.655 0.570 0.500
Y 0.845 0.345 0.915
Y 0.930 0.845 0.500

Table of total moment (μB/atom), in record order: 0.000, 0.000, 0.000, 0.000